# 1
First-principles (PBE) data for a relaxed structure of Er3Co2Ag2, as listed in Alexandria via LeMat-Bulk.

The structure in POSCAR format:
```
Er3Co2Ag2
1.0
-2.064 3.133 -0.272
-2.892 -1.759 1.679
2.363 4.586 8.872
Er Co Ag
3 2 2
direct
0.827 0.000 0.347 Er
0.000 0.000 0.000 Er
0.173 0.000 0.653 Er
0.720 0.500 0.560 Co
0.280 0.500 0.440 Co
0.580 0.500 0.840 Ag
0.420 0.500 0.160 Ag
```

The energy relative to the elements comes out at -6.0 kcal/mol of atoms. The density of states at the Fermi level is 7.166 states/eV/f.u.

# 2
First-principles (PBE) data for a relaxed structure of Er6CoAg2, as listed in Alexandria via LeMat-Bulk.

The structure in POSCAR format:
```
Er6CoAg2
1.0
6.589 0.000 0.433
0.000 7.299 0.000
-0.157 0.000 9.872
Er Co Ag
12 2 4
direct
0.880 0.984 0.251 Er
0.821 0.690 0.550 Er
0.834 0.684 0.946 Er
0.666 0.184 0.554 Er
0.679 0.190 0.950 Er
0.620 0.484 0.249 Er
0.120 0.016 0.749 Er
0.179 0.310 0.450 Er
0.166 0.316 0.054 Er
0.334 0.816 0.446 Er
0.321 0.810 0.050 Er
0.380 0.516 0.751 Er
0.500 0.500 0.000 Co
0.000 0.000 0.500 Co
0.946 0.395 0.745 Ag
0.554 0.895 0.755 Ag
0.446 0.105 0.245 Ag
0.054 0.605 0.255 Ag
```

The energy relative to the elements comes out at -3.6 kcal/mol of atoms. The density of states at the Fermi level is 9.647 states/eV/f.u.

# 3
First-principles (PBE) data for a relaxed structure of Er6Co2Ag, as listed in Alexandria via LeMat-Bulk.

The structure in POSCAR format:
```
Er6Co2Ag
1.0
8.234 0.027 0.021
-3.095 7.630 -0.021
-2.736 -3.717 6.819
Er Co Ag
12 4 2
direct
0.523 0.708 0.815 Er
0.477 0.292 0.185 Er
0.106 0.292 0.815 Er
0.894 0.708 0.185 Er
0.792 0.778 0.571 Er
0.208 0.222 0.429 Er
0.208 0.778 0.986 Er
0.792 0.222 0.014 Er
0.700 0.383 0.683 Er
0.300 0.617 0.317 Er
0.300 0.983 0.683 Er
0.700 0.017 0.317 Er
0.500 0.386 0.886 Co
0.500 0.614 0.114 Co
0.622 0.000 0.622 Co
0.378 0.000 0.378 Co
0.000 0.500 0.500 Ag
0.000 0.000 0.000 Ag
```

The energy relative to the elements comes out at -5.2 kcal/mol of atoms. The density of states at the Fermi level is 9.666 states/eV/f.u.

# 4
First-principles (PBE) data for a relaxed structure of Er2CoAg, as listed in Alexandria via LeMat-Bulk.

The structure in POSCAR format:
```
Er2CoAg
1.0
-2.486 -2.380 1.229
-1.472 -2.446 -2.281
5.220 -7.406 1.648
Co Ag Er
1 1 2
direct
0.500 0.500 0.500 Co
0.000 0.000 0.000 Ag
0.111 0.111 0.668 Er
0.889 0.889 0.332 Er
```

The energy relative to the elements comes out at 3.6 kcal/mol of atoms. The density of states at the Fermi level is 2.286 states/eV/f.u.

# 5
First-principles (PBE) data for a relaxed structure of Er2CoAg, as listed in Alexandria via LeMat-Bulk.

The structure in POSCAR format:
```
Er2CoAg
1.0
-3.292 0.502 -0.245
-0.390 -1.019 3.155
0.895 7.024 2.380
Co Ag Er
1 1 2
direct
0.500 0.500 0.000 Co
0.500 0.500 0.500 Ag
0.000 0.000 0.781 Er
0.000 0.000 0.219 Er
```

The energy relative to the elements comes out at -6.3 kcal/mol of atoms. The density of states at the Fermi level is 2.538 states/eV/f.u.

# 6
First-principles (PBE) data for a relaxed structure of Er3CoAg, as listed in Alexandria via LeMat-Bulk.

The structure in POSCAR format:
```
Er3CoAg
1.0
-1.590 1.615 -4.564
3.591 -2.829 -2.252
-3.248 -3.919 -0.256
Co Ag Er
1 1 3
direct
0.000 0.000 0.000 Co
0.500 0.500 0.500 Ag
0.000 0.500 0.000 Er
0.000 0.000 0.500 Er
0.500 0.000 0.000 Er
```

The energy relative to the elements comes out at -1.5 kcal/mol of atoms. As for the energy relative to the lowest polymorph listed for this composition: 148 meV per atom. The density of states at the Fermi level is 3.202 states/eV/f.u.

# 7
First-principles (PBE) data for a relaxed structure of Er4CoAg3, as listed in Alexandria via LeMat-Bulk.

The structure in POSCAR format:
```
Er4CoAg3
1.0
3.499 0.000 0.000
0.000 3.499 0.000
0.000 0.000 14.419
Co Ag Er
1 3 4
direct
0.500 0.500 0.000 Co
0.500 0.500 0.243 Ag
0.500 0.500 0.500 Ag
0.500 0.500 0.757 Ag
0.000 0.000 0.889 Er
0.000 0.000 0.111 Er
0.000 0.000 0.371 Er
0.000 0.000 0.629 Er
```

The energy relative to the elements comes out at -6.8 kcal/mol of atoms. The density of states at the Fermi level is 5.169 states/eV/f.u.

# 8
First-principles (PBE) data for a relaxed structure of Er12Co6Ag, as listed in Alexandria via LeMat-Bulk.

The structure in POSCAR format:
```
Er12Co6Ag
1.0
7.781 0.000 -2.751
-3.890 6.738 -2.751
0.000 0.000 8.253
Er Co Ag
12 6 1
direct
0.302 0.107 0.805 Er
0.302 0.497 0.195 Er
0.698 0.503 0.805 Er
0.698 0.893 0.195 Er
0.107 0.805 0.302 Er
0.497 0.195 0.302 Er
0.503 0.805 0.698 Er
0.893 0.195 0.698 Er
0.805 0.302 0.107 Er
0.195 0.302 0.497 Er
0.805 0.698 0.503 Er
0.195 0.698 0.893 Er
0.386 0.500 0.886 Co
0.614 0.500 0.114 Co
0.500 0.886 0.386 Co
0.500 0.114 0.614 Co
0.886 0.386 0.500 Co
0.114 0.614 0.500 Co
0.000 0.000 0.000 Ag
```

The energy relative to the elements comes out at -5.4 kcal/mol of atoms. The density of states at the Fermi level is 13.142 states/eV/f.u.

# 9
First-principles (PBE) data for a relaxed structure of Er3CoAg, as listed in Alexandria via LeMat-Bulk.

The structure in POSCAR format:
```
Er3CoAg
1.0
-5.170 1.231 -2.549
-1.546 -3.434 -4.533
-6.120 -5.610 2.014
Er Co Ag
6 2 2
direct
0.316 0.316 0.870 Er
0.684 0.684 0.130 Er
0.026 0.026 0.780 Er
0.974 0.974 0.220 Er
0.707 0.707 0.680 Er
0.293 0.293 0.320 Er
0.312 0.688 0.000 Co
0.688 0.312 0.000 Co
0.723 0.277 0.500 Ag
0.277 0.723 0.500 Ag
```

The energy relative to the elements comes out at -4.9 kcal/mol of atoms. As for the energy relative to the lowest polymorph listed for this composition: 0 meV per atom. The density of states at the Fermi level is 4.610 states/eV/f.u.

# 10
First-principles (PBE) data for a relaxed structure of Er5Co2Ag2, as listed in Alexandria via LeMat-Bulk.

The structure in POSCAR format:
```
Er5Co2Ag2
1.0
-6.832 1.976 0.028
-1.992 -6.874 -0.788
-3.628 0.143 7.920
Er Co Ag
10 4 4
direct
0.000 0.000 0.000 Er
0.500 0.500 0.000 Er
0.444 0.183 0.751 Er
0.805 0.817 0.751 Er
0.305 0.683 0.751 Er
0.944 0.317 0.751 Er
0.556 0.817 0.249 Er
0.195 0.183 0.249 Er
0.695 0.317 0.249 Er
0.056 0.683 0.249 Er
0.110 0.387 0.000 Co
0.890 0.613 0.000 Co
0.390 0.887 0.000 Co
0.610 0.113 0.000 Co
0.220 0.000 0.560 Ag
0.720 0.500 0.560 Ag
0.780 0.000 0.440 Ag
0.280 0.500 0.440 Ag
```

The energy relative to the elements comes out at -5.8 kcal/mol of atoms. The density of states at the Fermi level is 7.988 states/eV/f.u.

# 11
First-principles (PBE) data for a relaxed structure of HoErCoAg, as listed in Alexandria via LeMat-Bulk.

The structure in POSCAR format:
```
HoErCoAg
1.0
4.906 0.000 0.000
2.453 4.248 0.000
2.453 1.416 4.006
Co Ho Ag Er
1 1 1 1
direct
0.750 0.750 0.750 Co
0.500 0.500 0.500 Ho
0.250 0.250 0.250 Ag
0.000 0.000 0.000 Er
```

The energy relative to the elements comes out at -4.6 kcal/mol of atoms. As for the energy relative to the lowest polymorph listed for this composition: 66 meV per atom. The density of states at the Fermi level is 2.930 states/eV/f.u.

# 12
First-principles (PBE) data for a relaxed structure of HoErCoAg, as listed in Alexandria via LeMat-Bulk.

The structure in POSCAR format:
```
HoErCoAg
1.0
-1.816 -2.256 1.675
0.032 -2.011 -2.674
6.288 -3.212 2.490
Ho Er Co Ag
1 1 1 1
direct
0.500 0.500 0.790 Ho
0.500 0.500 0.352 Er
0.000 0.000 0.570 Co
0.000 0.000 0.073 Ag
```

The energy relative to the elements comes out at -6.2 kcal/mol of atoms. As for the energy relative to the lowest polymorph listed for this composition: 0 meV per atom. The density of states at the Fermi level is 2.552 states/eV/f.u.